Record 1
First-principles (PBE) data for ThGaHg after structural relaxation, as listed in the Alexandria database.

a = 4.6482 Å, b = 4.6482 Å, c = 3.9267 Å
α = 90.00°, β = 90.00°, γ = 120.00°
Closest atoms and distances in Å follow each position.
Space group P3m1 (No. 156)
One atom of each set of equivalent atoms:
Th1 0.0000 0.0000 0.0000 [1 per cell]  6 Ga 3.17-3.50, 6 Hg 3.22-3.44
Ga1 0.3333 0.6667 0.4285 [1 per cell]  3 Hg 2.72
Hg1 0.6667 0.3333 0.5483 [1 per cell]  3 Ga 2.72

Output
Raw total energy (eV/atom): -3.952
Total moment (μB/atom): 0.00
ΔE_f (eV/atom): -0.370
Energy above the lowest structure with this stoichiometry (eV per atom): 0.0000

Record 2
First-principles (PBE) data for Co3Ir4Os2 after structural relaxation, as listed in the Alexandria database.

a = 8.4811 Å, b = 3.7446 Å, c = 7.9449 Å
α = 90.00°, β = 108.83°, γ = 90.00°
Closest atoms and distances in Å follow each position.
Space group C2/m (No. 12)
One atom of each set of equivalent atoms:
Co1 0.0000 0.0000 0.0000 [2 per cell]  8 Ir 2.65-2.69, 4 Os 2.67
Co2 0.1724 0.5000 0.5550 [4 per cell]  3 Os 2.59-2.61, 6 Ir 2.59-2.70, 3 Co 2.60-2.77
Ir1 0.0051 0.0000 0.3384 [4 per cell]  6 Co 2.59-2.70, 3 Ir 2.60-2.68, 3 Os 2.64-2.71
Ir2 0.1646 0.5000 0.8890 [4 per cell]  4 Co 2.65-2.69, 4 Ir 2.66-2.68, 4 Os 2.67-2.69
Os1 0.1681 0.5000 0.2280 [4 per cell]  5 Co 2.59-2.67, 7 Ir 2.64-2.71

Output
Raw total energy (eV/atom): -8.759
Total moment (μB/atom): 0.30
ΔE_f (eV/atom): 0.043

Record 3
First-principles (PBE) data for KBaRh3 after structural relaxation, as listed in the Alexandria database.

a = 5.2628 Å, b = 5.2628 Å, c = 5.2628 Å
α = 90.00°, β = 90.00°, γ = 90.00°
Closest atoms and distances in Å follow each position.
Space group Pm-3m (No. 221)
One atom of each set of equivalent atoms:
K1 0.0000 0.0000 0.0000 [1 per cell]  12 Rh 3.72
Ba1 0.5000 0.5000 0.5000 [1 per cell]  6 Rh 2.63
Rh1 0.0000 0.5000 0.5000 [3 per cell]  2 Ba 2.63

Output
Raw total energy (eV/atom): -3.639
Total moment (μB/atom): 0.27
ΔE_f (eV/atom): 1.376
Energy above the lowest structure with this stoichiometry (eV per atom): 0.0000

Record 4
First-principles (PBE) data for CaCe2Ag2Sn2 after structural relaxation, as listed in the Alexandria database.

a = 4.7704 Å, b = 4.7704 Å, c = 27.6778 Å
α = 90.00°, β = 90.00°, γ = 120.00°
Closest atoms and distances in Å follow each position.
Space group R-3m (No. 166, hexagonal axes)
One atom of each set of equivalent atoms:
Ca1 0.0000 0.0000 0.0000 [3 per cell]  6 Sn 3.37, 6 Ag 3.71
Ce1 0.0000 0.0000 0.1434 [6 per cell]  3 Ce 3.04, 3 Ag 3.13, 1 Sn 3.32
Ag1 0.0000 0.0000 0.4231 [6 per cell]  3 Sn 2.81, 3 Ce 3.13
Sn1 0.0000 0.0000 0.2634 [6 per cell]  3 Ag 2.81

Output
Raw total energy (eV/atom): -4.303
Total moment (μB/atom): 0.30
ΔE_f (eV/atom): -0.363

Record 5
First-principles (PBE) data for Si2BPb after structural relaxation, as listed in the Alexandria database.

a = 6.6108 Å, b = 6.6108 Å, c = 6.6108 Å
α = 90.00°, β = 90.00°, γ = 90.00°
Closest atoms and distances in Å follow each position.
Space group Fm-3m (No. 225)
One atom of each set of equivalent atoms:
Si1 0.2500 0.2500 0.2500 [8 per cell]  4 Pb 2.86, 4 B 2.86
B1 0.0000 0.0000 0.0000 [4 per cell]  8 Si 2.86
Pb1 0.0000 0.0000 0.5000 [4 per cell]  8 Si 2.86

Output
Formation energy without anion corrections (meV per atom): 1401.7
Raw total energy (eV/atom): -3.906
Total moment (μB/atom): 0.00
Energy above the lowest structure with this stoichiometry (eV per atom): 0.9845

Record 6
First-principles (PBE) data for Pm2PaRh3 after structural relaxation, as listed in the Alexandria database.

a = 13.3798 Å, b = 5.7293 Å, c = 7.4062 Å
α = 90.00°, β = 106.62°, γ = 90.00°
Closest atoms and distances in Å follow each position.
Space group C2/c (No. 15)
One atom of each set of equivalent atoms:
Pm1 0.1742 0.1018 0.1302 [8 per cell]  4 Rh 2.74-3.06
Pa1 0.0000 0.4234 0.7500 [4 per cell]  3 Rh 2.52-2.69
Rh1 0.0000 0.0468 0.2500 [4 per cell]  1 Pa 2.69, 2 Pm 2.74
Rh2 0.1451 0.3961 0.5066 [8 per cell]  1 Pa 2.52

Output
Raw total energy (eV/atom): -7.555
Total moment (μB/atom): 0.00
ΔE_f (eV/atom): -0.713
Energy above the lowest structure with this stoichiometry (eV per atom): 0.0131